1.
Computed, not measured: crystalline Sr2MgBe at its relaxed geometry at the PBE-GGA level of DFT.

Output
Formation energy   0.26 eV/atom
Energy above the most stable polymorph in this dataset   0.071 eV/f.u.
Density   2.79 g/cm3
DFT total energy   -1.91 eV per atom

Cell: 6.7614 6.7614 6.7614 Å, 147.90 130.21 60.49°
Atoms (fractional coordinates):
1 Be 0.4765 0.4765 0.0000
2 Sr 0.0096 0.0096 0.0000
3 Sr 0.7025 0.2025 0.5000
4 Mg 0.3115 0.8115 0.5000

2.
Computed, not measured: crystalline PmZn2Ga3 at its relaxed geometry at the PBE-GGA level of DFT.

Output
Formation energy   -0.38 eV/atom
Energy above the most stable polymorph in this dataset   0.000 eV/f.u.
Density   6.92 g/cm3
DFT total energy   -3.11 eV per atom

Cell: 4.1955 4.1955 13.5451 Å, 98.91 98.91 90.00°
Atoms (fractional coordinates):
1 Ga 0.4525 0.9525 0.9050
2 Ga 0.6939 0.6939 0.3878
3 Ga 0.9525 0.4525 0.9050
4 Ga 0.5475 0.0475 0.0950
5 Ga 0.0475 0.5475 0.0950
6 Ga 0.3061 0.3061 0.6122
7 Pm 0.1495 0.1495 0.2990
8 Pm 0.8505 0.8505 0.7010
9 Zn 0.3982 0.3982 0.7964
10 Zn 0.6018 0.6018 0.2036
11 Zn 0.2500 0.7500 0.5000
12 Zn 0.7500 0.2500 0.5000

3.
Computed, not measured: crystalline ThHOs at its relaxed geometry at the PBE-GGA level of DFT.

Output
Energy above the most stable polymorph in this dataset   0.201 eV/f.u.
Density   13.47 g/cm3
DFT total energy   -7.54 eV per atom

Cell: 4.8603 8.2710 5.4869 Å, 108.82 90.00 90.00°
Atoms (fractional coordinates):
1 H 0.7539 0.4961 0.5052
2 H 0.2461 0.5039 0.4948
3 H 0.2539 0.5039 0.9948
4 H 0.7461 0.4961 0.0052
5 Th 0.4959 0.3025 0.6504
6 Th 0.5041 0.6975 0.3496
7 Th 0.9959 0.6975 0.8496
8 Th 0.0041 0.3025 0.1504
9 Os 0.2788 0.9889 0.8545
10 Os 0.7788 0.0111 0.6455
11 Os 0.2212 0.9889 0.3545
12 Os 0.7212 0.0111 0.1455

4.
Computed, not measured: crystalline LaY3Br at its relaxed geometry at the PBE-GGA level of DFT.

Output
Energy above the most stable polymorph in this dataset   0.000 eV/f.u.
Density   4.85 g/cm3
DFT total energy   -5.44 eV per atom
Energy relative to the elements, uncorrected   -0.245 eV per atom

Cell: 5.4972 5.4972 5.4972 Å, 90.00 90.00 90.00°
Atoms (fractional coordinates):
1 Y 0.0000 0.0000 0.5000
2 Y 0.5000 0.0000 0.0000
3 Y 0.0000 0.5000 0.0000
4 Br 0.0000 0.0000 0.0000
5 La 0.5000 0.5000 0.5000

5.
Computed, not measured: crystalline Li2TcSb at its relaxed geometry at the PBE-GGA level of DFT.

Output
Density   5.72 g/cm3
DFT total energy   -4.47 eV per atom
Energy relative to the elements, uncorrected   0.111 eV per atom

Cell: 4.8210 4.8210 5.2359 Å, 84.34 84.34 34.11°
Atoms (fractional coordinates):
1 Li 0.9939 0.9939 0.9927
2 Li 0.7533 0.7533 0.7665
3 Tc 0.2494 0.2494 0.2634
4 Sb 0.5033 0.5033 0.4774

6.
Computed, not measured: crystalline WSeCl2 at its relaxed geometry at the PBE-GGA level of DFT.

Output
Energy above the most stable polymorph in this dataset   4.998 eV/f.u.
Density   7.34 g/cm3
DFT total energy   -4.23 eV per atom
Energy relative to the elements, uncorrected   0.800 eV per atom

Cell: 5.3994 5.3994 3.4301 Å, 72.17 72.17 114.01°
Site moments in Bohr magnetons follow the coordinates.
Atoms (fractional coordinates):
1 Se 0.5000 0.0000 0.5000  -0.09
2 W 0.0000 0.5000 0.5000  1.84
3 Cl 0.5000 0.5000 0.0000  0.00
4 Cl 0.0000 0.0000 0.0000  0.00

7.
Computed, not measured: crystalline BaSbSeO6 at its relaxed geometry at the PBE-GGA level of DFT.

Output
Density   5.02 g/cm3
DFT total energy   -5.82 eV per atom
Energy relative to the elements, uncorrected   -1.457 eV per atom

Cell: 5.3142 5.3143 5.8739 Å, 90.00 90.00 60.00°
Site moments in Bohr magnetons follow the coordinates.
Atoms (fractional coordinates):
1 Se 0.6666 0.6667 0.5000  0.09
2 O 0.6144 0.9927 0.3069  0.07
3 O 0.9927 0.3929 0.3069  0.07
4 O 0.3929 0.6144 0.3069  0.07
5 O 0.6144 0.3929 0.6931  0.07
6 O 0.9926 0.6145 0.6931  0.07
7 O 0.3928 0.9927 0.6931  0.07
8 Sb 0.3333 0.3333 0.5000  0.00
9 Ba 0.0000 0.0000 0.0000  0.01

8.
Computed, not measured: crystalline CrAu6 at its relaxed geometry at the PBE-GGA level of DFT.

Output
Formation energy   0.88 eV/atom
Density   9.89 g/cm3
DFT total energy   -3.30 eV per atom

Cell: 6.4572 6.4572 6.4572 Å, 109.47 109.47 109.47°
Site moments in Bohr magnetons follow the coordinates.
Atoms (fractional coordinates):
1 Au 0.7500 0.5000 0.2500  0.00
2 Au 0.5000 0.7500 0.2500  0.00
3 Au 0.2500 0.7500 0.5000  0.00
4 Au 0.5000 0.2500 0.7500  0.00
5 Au 0.2500 0.5000 0.7500  0.00
6 Au 0.7500 0.2500 0.5000  0.00
7 Cr 0.0000 0.0000 0.0000  4.35

9.
Computed, not measured: crystalline AlP2Cl at its relaxed geometry at the PBE-GGA level of DFT.

Output
Energy above the most stable polymorph in this dataset   1.979 eV/f.u.
Density   2.95 g/cm3
DFT total energy   -3.91 eV per atom
Energy relative to the elements, uncorrected   0.194 eV per atom

Cell: 4.4977 4.4977 4.4955 Å, 71.51 71.51 111.43°
Atoms (fractional coordinates):
1 Cl 0.0000 0.5000 0.5000
2 P 0.5000 0.5000 0.0000
3 P 0.0000 0.0000 0.0000
4 Al 0.5000 0.0000 0.5000

10.
Computed, not measured: crystalline TlHgPd2 at its relaxed geometry at the PBE-GGA level of DFT.

Output
Formation energy   -0.12 eV/atom
Density   13.65 g/cm3
DFT total energy   -3.39 eV per atom

Cell: 3.2633 4.7992 4.7992 Å, 90.00 90.00 90.00°
Atoms (fractional coordinates):
1 Tl 0.5000 0.0000 0.0000
2 Pd 0.0000 0.0000 0.5000
3 Pd 0.0000 0.5000 0.0000
4 Hg 0.5000 0.5000 0.5000

11.
Computed, not measured: crystalline MgPaRh2 at its relaxed geometry at the PBE-GGA level of DFT.

Output
Formation energy   -0.67 eV/atom
Density   10.54 g/cm3
DFT total energy   -7.12 eV per atom

Cell: 3.4449 4.5917 4.5917 Å, 90.00 90.00 90.00°
Atoms (fractional coordinates):
1 Pa 0.5000 0.5000 0.5000
2 Mg 0.5000 0.0000 0.0000
3 Rh 0.0000 0.5000 0.0000
4 Rh 0.0000 0.0000 0.5000

12.
Computed, not measured: crystalline TlRe2 at its relaxed geometry at the PBE-GGA level of DFT.

Output
Formation energy   1.04 eV/atom
Energy above the most stable polymorph in this dataset   1.497 eV/f.u.
Density   17.85 g/cm3
DFT total energy   -8.05 eV per atom

Cell: 4.4722 4.4722 3.0981 Å, 90.00 90.00 120.00°
Atoms (fractional coordinates):
1 Tl 0.0000 0.0000 0.0000
2 Re 0.6667 0.3333 0.5000
3 Re 0.3333 0.6667 0.5000